1.
VASP calculation (PBE) on a relaxed structure of KEuGe4.

Results
DFT formation energy: -0.18 eV/atom
Fermi-level density of states: 35.9 states/eV per cell
E_tot: -5.157 eV/atom

Geometry as CIF:
```
data_KEuGe4
_cell_length_a 8.228
_cell_length_b 8.228
_cell_length_c 8.228
_cell_angle_alpha 90.00
_cell_angle_beta 90.00
_cell_angle_gamma 90.00
_space_group_name_H-M_alt 'F -4 3 m'
_space_group_IT_number 216
_space_group_name_Hall 'F -4 2 3'
loop_
_atom_site_label
_atom_site_fract_x
_atom_site_fract_y
_atom_site_fract_z
_atom_site_occupancy
K1 0.000 0.000 0.000 1
Eu1 0.250 0.250 0.250 1
Ge1 0.122 0.122 0.622 1
```

***

2.
VASP calculation (PBE) on a relaxed structure of Na3Dy2PtO6.

Results
Uncorrected formation energy: -2.09 eV/atom
Fermi-level density of states: 0.1 states/eV per cell
E_tot: -6.165 eV/atom

Geometry as CIF:
```
data_Na3Dy2PtO6
_cell_length_a 5.744
_cell_length_b 10.003
_cell_length_c 5.891
_cell_angle_alpha 90.00
_cell_angle_beta 107.90
_cell_angle_gamma 90.00
_space_group_name_H-M_alt 'C 1 2/m 1'
_space_group_IT_number 12
loop_
_space_group_symop_operation_xyz
'x,y,z'
'-x,-y,-z'
'-x,y,-z'
'x,-y,z'
'x+1/2,y+1/2,z'
'-x+1/2,-y+1/2,-z'
'-x+1/2,y+1/2,-z'
'x+1/2,-y+1/2,z'
loop_
_atom_site_label
_atom_site_fract_x
_atom_site_fract_y
_atom_site_fract_z
_atom_site_occupancy
Na1 0.000 0.000 0.000 1
Na2 0.000 0.342 0.000 1
Dy1 0.000 0.170 0.500 1
Pt1 0.000 0.500 0.500 1
O1 0.243 0.332 0.726 1
O2 0.246 0.500 0.297 1
```

***

3.
VASP calculation (PBE) on a relaxed structure of NaHf2C.

Results
DFT formation energy: -0.22 eV/atom
Fermi-level density of states: 11.6 states/eV per cell
E_tot: -7.834 eV/atom

Geometry as CIF:
```
data_NaHf2C
_cell_length_a 3.2710
_cell_length_b 3.2710
_cell_length_c 26.9941
_cell_angle_alpha 90.00
_cell_angle_beta 90.00
_cell_angle_gamma 120.00
_space_group_name_H-M_alt 'R -3 m'
_space_group_IT_number 166
_space_group_name_Hall '-R 3 2"'
loop_
_atom_site_label
_atom_site_fract_x
_atom_site_fract_y
_atom_site_fract_z
_atom_site_occupancy
Na1 0.0000 0.0000 0.0000 1
Hf1 0.0000 0.0000 0.1210 1
C1 0.0000 0.0000 0.5000 1
```

***

4.
VASP calculation (PBE) on a relaxed structure of Fe2ReAs2.

Results
DFT formation energy: 0.25 eV/atom
Fermi-level density of states: 8.7 states/eV per cell
E_tot: -7.488 eV/atom

Geometry as CIF:
```
data_Fe2ReAs2
_cell_length_a 6.863
_cell_length_b 6.863
_cell_length_c 2.751
_cell_angle_alpha 90.00
_cell_angle_beta 90.00
_cell_angle_gamma 90.00
_space_group_name_H-M_alt 'P 4/m b m'
_space_group_IT_number 127
_space_group_name_Hall '-P 4 2ab'
loop_
_atom_site_label
_atom_site_fract_x
_atom_site_fract_y
_atom_site_fract_z
_atom_site_occupancy
Fe1 0.145 0.355 0.000 1
Re1 0.000 0.000 0.500 1
As1 0.154 0.654 0.500 1
```

***

5.
VASP calculation (PBE) on a relaxed structure of Li2CeNi9.

Results
DFT formation energy: -0.15 eV/atom
Fermi-level density of states: 34.8 states/eV per cell
E_tot: -5.299 eV/atom
E above lowest polymorph: 0.0192 eV/atom

Geometry as CIF:
```
data_Li2CeNi9
_cell_length_a 8.091
_cell_length_b 8.091
_cell_length_c 4.721
_cell_angle_alpha 90.00
_cell_angle_beta 90.00
_cell_angle_gamma 90.00
_space_group_name_H-M_alt 'P 4/m b m'
_space_group_IT_number 127
_space_group_name_Hall '-P 4 2ab'
loop_
_atom_site_label
_atom_site_fract_x
_atom_site_fract_y
_atom_site_fract_z
_atom_site_occupancy
Li1 0.112 0.388 0.000 1
Ce1 0.000 0.000 0.000 1
Ni1 0.000 0.500 0.500 1
Ni2 0.062 0.210 0.500 1
Ni3 0.181 0.681 0.244 1
```

***

6.
VASP calculation (PBE) on a relaxed structure of Mn2ZnBr.

Results
Uncorrected formation energy: 0.48 eV/atom
Fermi-level density of states: 5.2 states/eV per cell
E_tot: -4.839 eV/atom
E above lowest polymorph: 0.2848 eV/atom

Geometry as CIF:
```
data_Mn2ZnBr
_cell_length_a 3.785
_cell_length_b 3.785
_cell_length_c 10.115
_cell_angle_alpha 90.00
_cell_angle_beta 90.00
_cell_angle_gamma 90.00
_space_group_name_H-M_alt 'I -4 m 2'
_space_group_IT_number 119
_space_group_name_Hall 'I -4 -2'
loop_
_atom_site_label
_atom_site_fract_x
_atom_site_fract_y
_atom_site_fract_z
_atom_site_occupancy
Mn1 0.000 0.000 0.000 1
Mn2 0.000 0.500 0.250 1
Zn1 0.000 0.500 0.750 1
Br1 0.000 0.000 0.500 1
```

***

7.
VASP calculation (PBE) on a relaxed structure of BaLaAgSb.

Results
Uncorrected formation energy: -0.59 eV/atom
Fermi-level density of states: 19.7 states/eV per cell
E_tot: -4.044 eV/atom

Geometry as CIF:
```
data_BaLaAgSb
_cell_length_a 8.043
_cell_length_b 8.043
_cell_length_c 8.043
_cell_angle_alpha 90.00
_cell_angle_beta 90.00
_cell_angle_gamma 90.00
_space_group_name_H-M_alt 'F -4 3 m'
_space_group_IT_number 216
_space_group_name_Hall 'F -4 2 3'
loop_
_atom_site_label
_atom_site_fract_x
_atom_site_fract_y
_atom_site_fract_z
_atom_site_occupancy
Ba1 0.000 0.000 0.000 1
La1 0.000 0.000 0.500 1
Ag1 0.250 0.250 0.750 1
Sb1 0.250 0.250 0.250 1
```

***

8.
VASP calculation (PBE) on a relaxed structure of CrCdAs2.

Results
DFT formation energy: 0.04 eV/atom
Fermi-level density of states: 5.0 states/eV per cell
E_tot: -4.923 eV/atom

Geometry as CIF:
```
data_CrCdAs2
_cell_length_a 3.7250
_cell_length_b 3.7250
_cell_length_c 19.8235
_cell_angle_alpha 90.00
_cell_angle_beta 90.00
_cell_angle_gamma 120.00
_space_group_name_H-M_alt 'R -3 m'
_space_group_IT_number 166
_space_group_name_Hall '-R 3 2"'
loop_
_atom_site_label
_atom_site_fract_x
_atom_site_fract_y
_atom_site_fract_z
_atom_site_occupancy
Cr1 0.0000 0.0000 0.0000 1
Cd1 0.0000 0.0000 0.5000 1
As1 0.0000 0.0000 0.2646 1
```